Crystalline CeZrAs2Rh2 at its relaxed geometry. Source: the Alexandria database, functional PBE.

Unit cell a=4.3083 b=4.3083 c=7.0599 alpha=90.00 beta=90.00 gamma=120.00
Space group P-3m1 (No. 164)
Unique sites:
1 Ce 0.0000 0.0000 0.0000
2 Zr 0.0000 0.0000 0.5000
3 As 0.3333 0.6667 0.2572
4 Rh 0.3333 0.6667 0.6913

Output
Formation energy from the elements in eV per atom: -1.012
Calculated total energy in eV per atom: -7.426
DOS(E_F) in states/eV/cell: 5.44
Crystal system: trigonal